A plane-wave DFT calculation with PBE was carried out for crystalline Ce2TmInN at its relaxed geometry.

The density of states at the Fermi level comes out at 8.625 states/eV/f.u. As for the total energy: -0.23245 hartree per atom. The formation energy (no corrections) comes out at -4.22 eV per formula unit.

Cell: 4.908 4.908 4.806 Å, 90.00 90.00 90.00°
Space group P4/mmm (No. 123)
Symmetry-distinct sites (fractional):
Ce 0.000 0.500 0.000
Tm 0.000 0.000 0.500
In 0.500 0.500 0.500
N 0.000 0.000 0.000